An optimized crystal structure of Li7CdSn4, computed with PBE.

**DOS(E_F)**: 3.35 states/eV per cell
**Energy relative to the elements**: -2.75 eV per formula unit
**Total DFT energy (no corrections)**: -2.756 eV/atom

a = 7.173 Å, b = 7.173 Å, c = 10.081 Å
α = 125.55°, β = 125.55°, γ = 40.76°
Atoms (fractional coordinates):
Li  0.000  0.000  0.000
Li  0.144  0.144  0.589
Li  0.282  0.282  0.146
Li  0.444  0.444  0.666
Li  0.556  0.556  0.334
Li  0.718  0.718  0.854
Li  0.856  0.856  0.411
Cd  0.500  0.500  0.000
Sn  0.071  0.071  0.793
Sn  0.199  0.199  0.357
Sn  0.801  0.801  0.643
Sn  0.929  0.929  0.207